one.
Compound: GdAlNO
Source: the Open Quantum Materials Database
Functional: PBE
Structure: optimized geometry

The structure in POSCAR format:
```
GdAlNO
1.0
-0.5255 3.3105 3.0860
0.6407 -3.0211 3.3499
5.0577 0.9261 -0.1322
Gd O Al N
2 2 2 2
Direct
0.5000 0.5000 0.5000
0.0000 0.0000 0.5000
0.5000 0.5000 0.0000
0.0000 0.0000 0.0000
0.5000 0.0000 0.0314
0.0000 0.5000 0.9686
0.5000 0.0000 0.3874
0.0000 0.5000 0.6126
```

Computed properties:
Total magnetic moment   0.08 μB per formula unit
Theoretical density   6.663 g cm⁻³

two.
Compound: GdAlNO
Source: the Open Quantum Materials Database
Functional: PBE
Structure: optimized geometry

The structure in POSCAR format:
```
GdAlNO
1.0
5.6777 0.0000 0.0000
0.0000 7.5185 0.0000
0.0000 0.0000 5.0430
N Gd O Al
4 4 4 4
Direct
0.6098 0.9158 0.6231
0.8902 0.9158 0.1231
0.3902 0.0842 0.1231
0.1098 0.0842 0.6231
0.5455 0.3623 0.0410
0.4545 0.6377 0.5410
0.0455 0.6377 0.0410
0.9545 0.3623 0.5410
0.5527 0.3170 0.5466
0.9473 0.3170 0.0466
0.0527 0.6830 0.5466
0.4473 0.6830 0.0466
0.0848 0.0933 0.9918
0.4152 0.0933 0.4918
0.9152 0.9067 0.4918
0.5848 0.9067 0.9918
```

Computed properties:
Total magnetic moment   0.01 μB per formula unit
Theoretical density   6.610 g cm⁻³

Computed energies relative to the best structure, in eV/atom: one 0.408; two 0.000

one.
Compound: GdAl3Ni2
Source: the Open Quantum Materials Database
Functional: PBE
Structure: optimized geometry

The structure in POSCAR format:
```
GdAl3Ni2
1.0
-4.9645 3.8367 -0.6300
0.4715 -3.7421 5.0535
1.5033 2.1882 1.4801
Ni Al Gd
2 3 1
Direct
0.6667 0.3333 0.5000
0.3333 0.6667 0.5000
0.0000 0.5000 0.0000
0.5000 0.5000 0.0000
0.5000 0.0000 0.0000
0.0000 0.0000 0.0000
```

Computed properties:
Total magnetic moment   0.02 μB per formula unit
Theoretical density   5.641 g cm⁻³

two.
Compound: GdAl3Ni2
Source: the Open Quantum Materials Database
Functional: PBE
Structure: optimized geometry

The structure in POSCAR format:
```
GdAl3Ni2
1.0
-5.9032 6.2603 -2.7166
-0.1783 -8.2524 -3.6449
-2.6177 -1.2171 2.8836
Al Ni Gd
9 6 3
Direct
0.7021 0.0000 0.0000
0.2979 0.0000 0.0000
0.0000 0.2979 0.0000
0.2979 0.2979 0.0000
0.5000 0.0000 0.5000
0.0000 0.5000 0.5000
0.0000 0.7021 0.0000
0.7021 0.7021 0.0000
0.5000 0.5000 0.5000
0.1817 0.8183 0.5000
0.1817 0.3635 0.5000
0.6365 0.8183 0.5000
0.8183 0.6365 0.5000
0.8183 0.1817 0.5000
0.3635 0.1817 0.5000
0.6666 0.3334 0.0000
0.3334 0.6666 0.0000
0.0000 0.0000 0.5000
```

Computed properties:
Total magnetic moment   0.00 μB per formula unit
Theoretical density   6.157 g cm⁻³

Computed energies relative to the best structure, in eV/atom: one 0.425; two 0.000

one.
Compound: Gd3Al3SiNi2
Source: the Open Quantum Materials Database
Functional: PBE
Structure: optimized geometry

The structure in POSCAR format:
```
Gd3Al3SiNi2
1.0
-6.8099 2.3057 -3.3278
0.5028 -0.7683 7.8690
0.9047 3.0132 0.2364
Al Gd Ni Si
3 3 2 1
Direct
0.0000 0.6319 0.0000
0.3681 0.3681 0.0000
0.6319 0.0000 0.0000
0.0000 0.3045 0.5000
0.3045 0.0000 0.5000
0.6955 0.6955 0.5000
0.3333 0.6667 0.5000
0.6667 0.3333 0.5000
0.0000 0.0000 0.0000
```

Computed properties:
Total magnetic moment   0.00 μB per formula unit
Theoretical density   6.760 g cm⁻³

two.
Compound: Gd3Al3SiNi2
Source: the Open Quantum Materials Database
Functional: PBE
Structure: optimized geometry

The structure in POSCAR format:
```
Gd3Al3SiNi2
1.0
-3.9580 2.3587 -5.6157
-3.2422 -3.3184 5.5894
-0.4508 3.3351 1.7186
Si Ni Al Gd
1 2 3 3
Direct
0.0000 0.0000 0.0000
0.3333 0.6667 0.5000
0.6667 0.3333 0.5000
0.0000 0.2559 0.5000
0.2559 0.0000 0.5000
0.7441 0.7441 0.5000
0.0000 0.5942 0.0000
0.5942 0.0000 0.0000
0.4058 0.4058 0.0000
```

Computed properties:
Total magnetic moment   0.00 μB per formula unit
Theoretical density   6.714 g cm⁻³

Computed energies relative to the best structure, in eV/atom: one 0.377; two 0.000

one.
Compound: Gd3Al3SiPd2
Source: the Open Quantum Materials Database
Functional: PBE
Structure: optimized geometry

The structure in POSCAR format:
```
Gd3Al3SiPd2
1.0
-1.7999 7.3642 -0.5670
-4.5309 -4.7346 3.8531
2.0087 0.7431 3.2751
Gd Al Si Pd
3 3 1 2
Direct
0.0000 0.2748 0.0000
0.7252 0.7252 0.0000
0.2748 0.0000 0.0000
0.6006 0.0000 0.5000
0.3994 0.3994 0.5000
0.0000 0.6006 0.5000
0.0000 0.0000 0.5000
0.3333 0.6667 0.0000
0.6667 0.3333 0.0000
```

Computed properties:
Total magnetic moment   0.01 μB per formula unit
Theoretical density   6.729 g cm⁻³

two.
Compound: Gd3Al3SiPd2
Source: the Open Quantum Materials Database
Functional: PBE
Structure: optimized geometry

The structure in POSCAR format:
```
Gd3Al3SiPd2
1.0
-1.1894 6.2780 3.7913
-3.0587 -0.9253 -6.7074
-3.0944 -1.5691 1.6276
Al Gd Si Pd
3 3 1 2
Direct
0.2511 0.0000 0.0000
0.7489 0.7489 0.0000
0.0000 0.2511 0.0000
0.0000 0.5990 0.5000
0.5990 0.0000 0.5000
0.4010 0.4010 0.5000
0.0000 0.0000 0.5000
0.6667 0.3333 0.0000
0.3333 0.6667 0.0000
```

Computed properties:
Total magnetic moment   0.00 μB per formula unit
Theoretical density   7.193 g cm⁻³

Computed energies relative to the best structure, in eV/atom: one 0.364; two 0.000

one.
Compound: GdTm2Al
Source: the Open Quantum Materials Database
Functional: PBE
Structure: optimized geometry

The structure in POSCAR format:
```
GdTm2Al
1.0
-0.5660 -3.3757 -3.6556
4.5280 -3.9257 2.9241
-5.7097 -2.0444 2.7720
Tm Al Gd
4 2 2
Direct
0.2500 0.9336 0.1543
0.7500 0.6337 0.8700
0.7500 0.1543 0.9336
0.2500 0.8700 0.6337
0.2500 0.4222 0.0740
0.7500 0.0740 0.4222
0.2500 0.3438 0.5684
0.7500 0.5684 0.3438
```

Computed properties:
Total magnetic moment   0.04 μB per formula unit
Theoretical density   7.980 g cm⁻³

two.
Compound: GdTm2Al
Source: the Open Quantum Materials Database
Functional: PBE
Structure: optimized geometry

The structure in POSCAR format:
```
GdTm2Al
1.0
3.3810 -5.8909 0.0000
3.3810 5.8909 0.0000
0.0000 0.0000 5.2749
Tm Gd Al
4 2 2
Direct
0.3479 0.1755 0.2500
0.1755 0.3479 0.7500
0.6521 0.8245 0.7500
0.8245 0.6521 0.2500
0.8245 0.1755 0.2500
0.1755 0.8245 0.7500
0.6640 0.3360 0.7500
0.3360 0.6640 0.2500
```

Computed properties:
Total magnetic moment   0.00 μB per formula unit
Theoretical density   8.252 g cm⁻³

Computed energies relative to the best structure, in eV/atom: one 0.028; two 0.000

one.
Compound: Gd2Tm3Al3
Source: the Open Quantum Materials Database
Functional: PBE
Structure: optimized geometry

The structure in POSCAR format:
```
Gd2Tm3Al3
1.0
-0.7810 5.1811 1.0979
-6.2209 -1.1649 1.0719
-1.0342 -1.4621 6.1643
Al Tm Gd
3 3 2
Direct
0.0000 0.7632 0.3958
0.5000 0.1481 0.1481
0.0000 0.3958 0.7632
0.5000 0.6611 0.1852
0.0000 0.8776 0.8776
0.5000 0.1852 0.6611
0.0000 0.2903 0.2903
0.5000 0.6789 0.6789
```

Computed properties:
Total magnetic moment   0.06 μB per formula unit
Theoretical density   7.273 g cm⁻³

two.
Compound: Gd2Tm3Al3
Source: the Open Quantum Materials Database
Functional: PBE
Structure: optimized geometry

The structure in POSCAR format:
```
Gd2Tm3Al3
1.0
6.8529 0.0000 0.0000
-3.4264 5.9348 0.0000
0.0000 0.0000 5.0858
Al Gd Tm
3 2 3
Direct
0.4756 0.5244 0.0000
0.4756 0.9512 0.0000
0.0488 0.5244 0.0000
0.0000 0.0000 0.0000
0.6667 0.3333 0.5000
0.6503 0.8252 0.5000
0.1748 0.3497 0.5000
0.1748 0.8252 0.5000
```

Computed properties:
Total magnetic moment   0.04 μB per formula unit
Theoretical density   7.243 g cm⁻³

three.
Compound: Gd2Tm3Al3
Source: the Open Quantum Materials Database
Functional: PBE
Structure: optimized geometry

The structure in POSCAR format:
```
Gd2Tm3Al3
1.0
-0.5476 -2.4429 5.9786
4.3025 -2.3798 -0.5783
3.2092 5.5523 1.0279
Al Gd Tm
3 2 3
Direct
0.1292 0.0000 0.3678
0.4066 0.5000 0.0935
0.8402 0.5000 0.6621
0.6372 0.0000 0.3782
0.3311 0.5000 0.5912
0.6221 0.0000 0.8748
0.1215 0.0000 0.8756
0.9120 0.5000 0.1568
```

Computed properties:
Total magnetic moment   0.02 μB per formula unit
Theoretical density   7.366 g cm⁻³

Computed energies relative to the best structure, in eV/atom: one 0.125; two 0.094; three 0.000